Entry from Alexandria via LeMat-Bulk: an optimized crystal structure of Y2Al2Fe2C (PBE).

Values from the calculation:
- Volume: 16.97 Å³/atom
- Density of states at the Fermi level: 4.14 states/eV/cell
- Formation enthalpy at 0 K: -0.37 eV/atom
- Raw total energy: -7.03 eV per atom

a = 4.019 Å, b = 5.857 Å, c = 5.813 Å
α = 74.33°, β = 69.78°, γ = 69.93°
Element x y z (fractional)
Y1 0.555 0.173 0.717
Y2 0.445 0.827 0.283
Al1 0.164 0.393 0.278
Al2 0.836 0.607 0.722
Fe1 0.192 0.706 0.909
Fe2 0.808 0.294 0.091
C1 0.000 0.000 0.000